TlTc2Pb | PBE-GGA | relaxed

Output
ΔE to the lowest computed polymorph in eV per atom: 0.595
Energy of formation in eV/atom: 0.915
VASP energy in eV/cell: -46.3
Magnetization in Bohr magnetons per cell: 2.31
Space-group type: No. 65

a b c (Å): 3.2688 5.3048 9.0570
angles (deg): 90.00 90.00 90.00
Closest atoms and distances in Å follow each position.
Sites, in units of the cell vectors:
Tl (0.0000, 0.0000, 0.0000)  4 Tc 2.82, 4 Tl 3.12
Tl (0.5000, 0.5000, 0.0000)  4 Tc 2.82, 4 Tl 3.12
Tc (0.0000, 0.5000, 0.2532)  2 Pb 2.77, 2 Tl 2.82
Tc (0.0000, 0.5000, 0.7468)  2 Pb 2.77, 2 Tl 2.82
Tc (0.5000, 0.0000, 0.2532)  2 Pb 2.77, 2 Tl 2.82
Tc (0.5000, 0.0000, 0.7468)  2 Pb 2.77, 2 Tl 2.82
Pb (0.0000, 0.0000, 0.5000)  4 Tc 2.77
Pb (0.5000, 0.5000, 0.5000)  4 Tc 2.77

=====

TlTcPb2 | PBE-GGA | relaxed

Output
ΔE to the lowest computed polymorph in eV per atom: 0.370
Energy of formation in eV/atom: 0.741
VASP energy in eV/cell: -68.7
Magnetization in Bohr magnetons per cell: 8.37
Space-group type: No. 225

a b c (Å): 7.4143 7.4143 7.4143
angles (deg): 90.00 90.00 90.00
Closest atoms and distances in Å follow each position.
Sites, in units of the cell vectors:
Tl (0.0000, 0.0000, 0.0000)  8 Pb 3.21
Tl (0.0000, 0.5000, 0.5000)  8 Pb 3.21
Tl (0.5000, 0.0000, 0.5000)  8 Pb 3.21
Tl (0.5000, 0.5000, 0.0000)  8 Pb 3.21
Tc (0.0000, 0.0000, 0.5000)  8 Pb 3.21
Tc (0.0000, 0.5000, 0.0000)  8 Pb 3.21
Tc (0.5000, 0.0000, 0.0000)  8 Pb 3.21
Tc (0.5000, 0.5000, 0.5000)  8 Pb 3.21
Pb (0.2500, 0.2500, 0.2500)  4 Tl 3.21, 4 Tc 3.21
Pb (0.2500, 0.2500, 0.7500)  4 Tl 3.21, 4 Tc 3.21
Pb (0.2500, 0.7500, 0.2500)  4 Tl 3.21, 4 Tc 3.21
Pb (0.2500, 0.7500, 0.7500)  4 Tl 3.21, 4 Tc 3.21
Pb (0.7500, 0.2500, 0.2500)  4 Tl 3.21, 4 Tc 3.21
Pb (0.7500, 0.2500, 0.7500)  4 Tl 3.21, 4 Tc 3.21
Pb (0.7500, 0.7500, 0.2500)  4 Tl 3.21, 4 Tc 3.21
Pb (0.7500, 0.7500, 0.7500)  4 Tl 3.21, 4 Tc 3.21

=====

TlTcPb2 | PBE-GGA | relaxed

Output
ΔE to the lowest computed polymorph in eV per atom: 0.366
Energy of formation in eV/atom: 0.737
VASP energy in eV/cell: -34.4
Magnetization in Bohr magnetons per cell: 5.42
Space-group type: No. 119

a b c (Å): 4.5466 4.5466 9.8134
angles (deg): 90.00 90.00 90.00
Closest atoms and distances in Å follow each position.
Sites, in units of the cell vectors:
Tl (0.0000, 0.0000, 0.0000)  8 Pb 3.21-3.34, 4 Tc 3.34
Tl (0.5000, 0.5000, 0.5000)  8 Pb 3.21-3.34, 4 Tc 3.34
Tc (0.0000, 0.5000, 0.2500)  8 Pb 3.21-3.34, 4 Tl 3.34
Tc (0.5000, 0.0000, 0.7500)  8 Pb 3.21-3.34, 4 Tl 3.34
Pb (0.0000, 0.0000, 0.5000)  4 Tl 3.21, 4 Pb 3.34, 4 Tc 3.34
Pb (0.0000, 0.5000, 0.7500)  4 Tc 3.21, 4 Tl 3.34, 4 Pb 3.34
Pb (0.5000, 0.0000, 0.2500)  4 Tc 3.21, 4 Tl 3.34, 4 Pb 3.34
Pb (0.5000, 0.5000, 0.0000)  4 Tl 3.21, 4 Pb 3.34, 4 Tc 3.34

=====

TlTc2Pb | PBE-GGA | relaxed

Output
ΔE to the lowest computed polymorph in eV per atom: 0.501
Energy of formation in eV/atom: 0.820
VASP energy in eV/cell: -23.5
Magnetization in Bohr magnetons per cell: 1.99
Space-group type: No. 123

a b c (Å): 4.7347 4.7347 3.3485
angles (deg): 90.00 90.00 90.00
Closest atoms and distances in Å follow each position.
Sites, in units of the cell vectors:
Tl (0.0000, 0.0000, 0.0000)  8 Tc 2.90
Tc (0.0000, 0.5000, 0.5000)  4 Pb 2.90, 4 Tl 2.90
Tc (0.5000, 0.0000, 0.5000)  4 Pb 2.90, 4 Tl 2.90
Pb (0.5000, 0.5000, 0.0000)  8 Tc 2.90

=====

TlTcPb4 | PBE-GGA | relaxed

Output
Energy of formation in eV/atom: 0.768
VASP energy in eV/cell: -23.0
Magnetization in Bohr magnetons per cell: 3.48
Space-group type: No. 216

a b c (Å): 6.4105 6.4105 6.4105
angles (deg): 60.00 60.00 60.00
Closest atoms and distances in Å follow each position.
Sites, in units of the cell vectors:
Tl (0.0000, 0.0000, 0.0000)  12 Pb 3.76, 4 Tc 3.93
Tc (0.2500, 0.2500, 0.2500)  12 Pb 3.76, 4 Tl 3.93
Pb (0.1265, 0.6245, 0.6245)  6 Pb 3.19-3.22
Pb (0.6245, 0.1265, 0.6245)  6 Pb 3.19-3.22
Pb (0.6245, 0.6245, 0.1265)  6 Pb 3.19-3.22
Pb (0.6245, 0.6245, 0.6245)  6 Pb 3.19-3.22

=====

TlTc2Pb | PBE-GGA | relaxed

Output
ΔE to the lowest computed polymorph in eV per atom: 0.363
Energy of formation in eV/atom: 0.683
VASP energy in eV/cell: -48.1
Magnetization in Bohr magnetons per cell: 0.00
Space-group type: No. 44

a b c (Å): 3.1995 4.7962 11.5245
angles (deg): 90.00 90.00 90.00
Closest atoms and distances in Å follow each position.
Sites, in units of the cell vectors:
Tl (0.0000, 0.0000, 0.0000)  6 Tc 2.92-3.27, 2 Tl 3.20
Tl (0.5000, 0.5000, 0.5000)  6 Tc 2.92-3.27, 2 Tl 3.20
Tc (0.0000, 0.0000, 0.5408)  2 Tc 2.37
Tc (0.0000, 0.5000, 0.1925)  2 Tc 2.37
Tc (0.5000, 0.0000, 0.6925)  2 Tc 2.37
Tc (0.5000, 0.5000, 0.0408)  2 Tc 2.37
Pb (0.0000, 0.5000, 0.7824)  6 Tc 3.06-3.38, 2 Pb 3.20
Pb (0.5000, 0.0000, 0.2824)  6 Tc 3.06-3.38, 2 Pb 3.20